(1)
Computed, not measured: Cs2Pa3InS8 after structural relaxation at the PBE-GGA level of DFT.

abc: 9.750 9.750 9.750
angles: 49.69 49.69 49.69
Sites, in units of the cell vectors:
Cs (0.000, 0.000, 0.000)
Cs (0.360, 0.360, 0.360)
Pa (0.361, 0.361, 0.862)
Pa (0.361, 0.862, 0.361)
Pa (0.862, 0.361, 0.361)
In (0.754, 0.754, 0.754)
S (0.099, 0.099, 0.551)
S (0.099, 0.551, 0.099)
S (0.138, 0.138, 0.138)
S (0.161, 0.626, 0.626)
S (0.551, 0.099, 0.099)
S (0.582, 0.582, 0.582)
S (0.626, 0.161, 0.626)
S (0.626, 0.626, 0.161)

Computed properties:
uncorrected energy = -85.8 eV per cell
spin magnetization = 2.04 μB/f.u.
Fermi-level density of states = 11.608 states/eV/cell
mass density = 4.46 g/cm3

(2)
Computed, not measured: Cs2PaInS5 after structural relaxation at the PBE-GGA level of DFT.

abc: 10.260 10.260 15.081
angles: 90.00 90.00 156.53
Sites, in units of the cell vectors:
Cs (0.108, 0.892, 0.500)
Cs (0.130, 0.870, 0.145)
Cs (0.870, 0.130, 0.645)
Cs (0.892, 0.108, 0.000)
Pa (0.208, 0.792, 0.850)
Pa (0.792, 0.208, 0.350)
In (0.434, 0.566, 0.257)
In (0.566, 0.434, 0.757)
S (0.068, 0.932, 0.859)
S (0.293, 0.707, 0.461)
S (0.305, 0.695, 0.231)
S (0.329, 0.671, 0.830)
S (0.494, 0.506, 0.125)
S (0.506, 0.494, 0.625)
S (0.671, 0.329, 0.330)
S (0.695, 0.305, 0.731)
S (0.707, 0.293, 0.961)
S (0.932, 0.068, 0.359)

Computed properties:
uncorrected energy = -91.5 eV per cell
spin magnetization = 0.00 μB/f.u.
mass density = 4.06 g/cm3

(3)
Computed, not measured: CsPaInS4 after structural relaxation at the PBE-GGA level of DFT.

abc: 8.348 8.348 8.348
angles: 119.05 108.50 101.37
Sites, in units of the cell vectors:
Cs (0.432, 0.182, 0.250)
Cs (0.568, 0.818, 0.750)
Pa (0.000, 0.000, 0.500)
Pa (0.000, 0.500, 0.000)
In (0.000, 0.500, 0.500)
In (0.500, 0.500, 0.000)
S (0.153, 0.233, 0.920)
S (0.187, 0.767, 0.420)
S (0.243, 0.301, 0.558)
S (0.243, 0.686, 0.942)
S (0.757, 0.314, 0.058)
S (0.757, 0.699, 0.442)
S (0.813, 0.233, 0.580)
S (0.847, 0.767, 0.080)

Computed properties:
uncorrected energy = -75.0 eV per cell
spin magnetization = 0.00 μB/f.u.
Fermi-level density of states = 2.335 states/eV/cell
mass density = 4.61 g/cm3

(4)
Computed, not measured: CsPaInSe4 after structural relaxation at the PBE-GGA level of DFT.

abc: 8.687 8.687 8.687
angles: 119.03 107.94 101.93
Sites, in units of the cell vectors:
Cs (0.440, 0.190, 0.250)
Cs (0.560, 0.810, 0.750)
Pa (0.000, 0.000, 0.500)
Pa (0.000, 0.500, 0.000)
In (0.000, 0.500, 0.500)
In (0.500, 0.500, 0.000)
Se (0.152, 0.230, 0.922)
Se (0.192, 0.770, 0.422)
Se (0.247, 0.304, 0.557)
Se (0.247, 0.691, 0.943)
Se (0.753, 0.309, 0.057)
Se (0.753, 0.696, 0.443)
Se (0.808, 0.230, 0.578)
Se (0.848, 0.770, 0.078)

Computed properties:
uncorrected energy = -68.4 eV per cell
spin magnetization = 0.00 μB/f.u.
Fermi-level density of states = 2.804 states/eV/cell
mass density = 5.35 g/cm3

(5)
Computed, not measured: CsIn4Pb3 after structural relaxation at the PBE-GGA level of DFT.

abc: 5.623 5.623 9.028
angles: 90.00 90.00 90.00
Sites, in units of the cell vectors:
Cs (0.000, 0.000, 0.000)
In (0.000, 0.500, 0.327)
In (0.000, 0.500, 0.673)
In (0.500, 0.000, 0.327)
In (0.500, 0.000, 0.673)
Pb (0.000, 0.000, 0.500)
Pb (0.500, 0.500, 0.177)
Pb (0.500, 0.500, 0.823)

Computed properties:
uncorrected energy = -23.0 eV per cell
spin magnetization = 0.00 μB/f.u.
Fermi-level density of states = 5.667 states/eV/cell
mass density = 7.06 g/cm3
energy relative to the elements = -0.003 eV per atom

(6)
Computed, not measured: CsIn6Pb6 after structural relaxation at the PBE-GGA level of DFT.

abc: 8.419 8.419 8.419
angles: 90.00 90.00 90.00
Sites, in units of the cell vectors:
Cs (0.000, 0.000, 0.000)
In (0.000, 0.251, 0.500)
In (0.000, 0.749, 0.500)
In (0.251, 0.500, 0.000)
In (0.500, 0.000, 0.251)
In (0.500, 0.000, 0.749)
In (0.749, 0.500, 0.000)
Pb (0.000, 0.500, 0.250)
Pb (0.000, 0.500, 0.750)
Pb (0.250, 0.000, 0.500)
Pb (0.500, 0.250, 0.000)
Pb (0.500, 0.750, 0.000)
Pb (0.750, 0.000, 0.500)

Computed properties:
uncorrected energy = -37.0 eV per cell
spin magnetization = 0.00 μB/f.u.
Fermi-level density of states = 14.131 states/eV/cell
mass density = 5.75 g/cm3
energy relative to the elements = 0.196 eV per atom

- spin magnetization of number 2 (Cs2PaInS5)?
  0.00 μB/f.u.

- Which formula does entry 2 have?
  Cs2PaInS5

What did the fifth record say?
Computed, not measured: CsIn4Pb3 after structural relaxation at the PBE-GGA level of DFT.

abc: 5.623 5.623 9.028
angles: 90.00 90.00 90.00
Sites, in units of the cell vectors:
Cs (0.000, 0.000, 0.000)
In (0.000, 0.500, 0.327)
In (0.000, 0.500, 0.673)
In (0.500, 0.000, 0.327)
In (0.500, 0.000, 0.673)
Pb (0.000, 0.000, 0.500)
Pb (0.500, 0.500, 0.177)
Pb (0.500, 0.500, 0.823)

Computed properties:
uncorrected energy = -23.0 eV per cell
spin magnetization = 0.00 μB/f.u.
Fermi-level density of states = 5.667 states/eV/cell
mass density = 7.06 g/cm3
energy relative to the elements = -0.003 eV per atom